# TbEr3Pu2Se6

A relaxed TbEr3Pu2Se6 crystal (PBE, the Alexandria database).

Structure (CIF):
```
data_TbEr3Pu2Se6
_chemical_formula_sum 'Tb1 Er3 Pu2 Se6'
_cell_length_a 7.043
_cell_length_b 7.043
_cell_length_c 7.117
_cell_angle_alpha 99.49
_cell_angle_beta 99.49
_cell_angle_gamma 120.04
_symmetry_space_group_name_H-M 'P 1'
_symmetry_Int_Tables_number 1
loop_
_symmetry_equiv_pos_as_xyz
'x,y,z'
loop_
_atom_site_label
_atom_site_fract_x
_atom_site_fract_y
_atom_site_fract_z
Tb1 0.000 0.000 0.000
Er1 0.167 0.833 0.500
Er2 0.500 0.500 0.500
Er3 0.833 0.167 0.500
Pu1 0.333 0.667 0.000
Pu2 0.667 0.333 0.000
Se1 0.086 0.418 0.257
Se2 0.246 0.246 0.741
Se3 0.418 0.086 0.257
Se4 0.582 0.914 0.743
Se5 0.754 0.754 0.259
Se6 0.914 0.582 0.743
```

Output
The calculated volume comes out at 288 Å³ per cell. The raw formation energy is -20.18 eV per formula unit. The calculated density is 9.3 Mg/m³.


# TbErPu2Se4

A relaxed TbErPu2Se4 crystal (PBE, the Alexandria database).

Structure (CIF):
```
data_TbErPu2Se4
_chemical_formula_sum 'Tb1 Er1 Pu2 Se4'
_cell_length_a 7.070
_cell_length_b 4.085
_cell_length_c 7.174
_cell_angle_alpha 90.00
_cell_angle_beta 109.22
_cell_angle_gamma 90.00
_symmetry_space_group_name_H-M 'P 1'
_symmetry_Int_Tables_number 1
loop_
_symmetry_equiv_pos_as_xyz
'x,y,z'
loop_
_atom_site_label
_atom_site_fract_x
_atom_site_fract_y
_atom_site_fract_z
Tb1 0.000 0.000 0.000
Er1 0.500 0.500 0.000
Pu1 0.000 0.500 0.500
Pu2 0.500 0.000 0.500
Se1 0.251 0.500 0.245
Se2 0.255 0.000 0.757
Se3 0.745 0.000 0.243
Se4 0.749 0.500 0.755
```

Output
The calculated volume comes out at 196 Å³ per cell. The raw formation energy is -13.30 eV per formula unit. The calculated density is 9.6 Mg/m³.


# Tb3ErPu2Se6

A relaxed Tb3ErPu2Se6 crystal (PBE, the Alexandria database).

Structure (CIF):
```
data_Tb3ErPu2Se6
_chemical_formula_sum 'Tb3 Er1 Pu2 Se6'
_cell_length_a 9.172
_cell_length_b 9.172
_cell_length_c 8.231
_cell_angle_alpha 103.12
_cell_angle_beta 103.12
_cell_angle_gamma 25.73
_symmetry_space_group_name_H-M 'P 1'
_symmetry_Int_Tables_number 1
loop_
_symmetry_equiv_pos_as_xyz
'x,y,z'
loop_
_atom_site_label
_atom_site_fract_x
_atom_site_fract_y
_atom_site_fract_z
Tb1 0.000 0.000 0.000
Tb2 0.332 0.332 0.666
Tb3 0.668 0.668 0.334
Er1 0.000 0.000 0.500
Pu1 0.334 0.334 0.167
Pu2 0.666 0.666 0.833
Se1 0.165 0.165 0.580
Se2 0.166 0.166 0.085
Se3 0.498 0.498 0.745
Se4 0.502 0.502 0.255
Se5 0.834 0.834 0.915
Se6 0.835 0.835 0.420
```

Output
The calculated volume comes out at 292 Å³ per cell. The raw formation energy is -20.45 eV per formula unit. The calculated density is 9.1 Mg/m³.


# Tb3Er2PuSe6

A relaxed Tb3Er2PuSe6 crystal (PBE, the Alexandria database).

Structure (CIF):
```
data_Tb3Er2PuSe6
_chemical_formula_sum 'Tb3 Er2 Pu1 Se6'
_cell_length_a 9.135
_cell_length_b 9.135
_cell_length_c 8.201
_cell_angle_alpha 103.04
_cell_angle_beta 103.04
_cell_angle_gamma 25.68
_symmetry_space_group_name_H-M 'P 1'
_symmetry_Int_Tables_number 1
loop_
_symmetry_equiv_pos_as_xyz
'x,y,z'
loop_
_atom_site_label
_atom_site_fract_x
_atom_site_fract_y
_atom_site_fract_z
Tb1 0.000 0.000 0.000
Tb2 0.336 0.336 0.665
Tb3 0.664 0.664 0.335
Er1 0.337 0.337 0.172
Er2 0.663 0.663 0.828
Pu1 0.000 0.000 0.500
Se1 0.169 0.169 0.080
Se2 0.169 0.169 0.588
Se3 0.499 0.499 0.247
Se4 0.501 0.501 0.753
Se5 0.831 0.831 0.412
Se6 0.831 0.831 0.920
```

Output
The calculated volume comes out at 288 Å³ per cell. The raw formation energy is -20.74 eV per formula unit. The calculated density is 8.8 Mg/m³.


# Tb2Er3PuSe6

A relaxed Tb2Er3PuSe6 crystal (PBE, the Alexandria database).

Structure (CIF):
```
data_Tb2Er3PuSe6
_chemical_formula_sum 'Tb2 Er3 Pu1 Se6'
_cell_length_a 9.116
_cell_length_b 9.116
_cell_length_c 8.187
_cell_angle_alpha 103.21
_cell_angle_beta 103.21
_cell_angle_gamma 25.66
_symmetry_space_group_name_H-M 'P 1'
_symmetry_Int_Tables_number 1
loop_
_symmetry_equiv_pos_as_xyz
'x,y,z'
loop_
_atom_site_label
_atom_site_fract_x
_atom_site_fract_y
_atom_site_fract_z
Tb1 0.164 0.164 0.329
Tb2 0.836 0.836 0.671
Er1 0.165 0.165 0.835
Er2 0.500 0.500 0.500
Er3 0.835 0.835 0.165
Pu1 0.500 0.500 0.000
Se1 0.002 0.002 0.745
Se2 0.330 0.330 0.918
Se3 0.333 0.333 0.413
Se4 0.667 0.667 0.587
Se5 0.670 0.670 0.082
Se6 0.998 0.998 0.255
```

Output
The calculated volume comes out at 286 Å³ per cell. The raw formation energy is -20.60 eV per formula unit. The calculated density is 8.9 Mg/m³.


# ErPuTeSe2

A relaxed ErPuTeSe2 crystal (PBE, the Alexandria database).

Structure (CIF):
```
data_ErPuTeSe2
_chemical_formula_sum 'Er1 Pu1 Te1 Se2'
_cell_length_a 7.692
_cell_length_b 7.692
_cell_length_c 7.692
_cell_angle_alpha 145.63
_cell_angle_beta 145.63
_cell_angle_gamma 49.40
_symmetry_space_group_name_H-M 'P 1'
_symmetry_Int_Tables_number 1
loop_
_symmetry_equiv_pos_as_xyz
'x,y,z'
loop_
_atom_site_label
_atom_site_fract_x
_atom_site_fract_y
_atom_site_fract_z
Er1 0.000 0.000 0.000
Pu1 0.263 0.263 0.000
Te1 0.637 0.637 0.000
Se1 0.388 0.888 0.500
Se2 0.888 0.388 0.500
```

Output
The calculated volume comes out at 144 Å³ per cell. The raw formation energy is -5.65 eV per formula unit. The calculated density is 8.0 Mg/m³.


# ErPuTeSe

A relaxed ErPuTeSe crystal (PBE, the Alexandria database).

Structure (CIF):
```
data_ErPuTeSe
_chemical_formula_sum 'Er1 Pu1 Te1 Se1'
_cell_length_a 7.476
_cell_length_b 7.476
_cell_length_c 7.476
_cell_angle_alpha 32.49
_cell_angle_beta 32.49
_cell_angle_gamma 32.49
_symmetry_space_group_name_H-M 'P 1'
_symmetry_Int_Tables_number 1
loop_
_symmetry_equiv_pos_as_xyz
'x,y,z'
loop_
_atom_site_label
_atom_site_fract_x
_atom_site_fract_y
_atom_site_fract_z
Er1 0.000 0.000 0.000
Pu1 0.517 0.517 0.517
Te1 0.755 0.755 0.755
Se1 0.261 0.261 0.261
```

Output
The calculated volume comes out at 107 Å³ per cell. The raw formation energy is -5.63 eV per formula unit. The calculated density is 9.6 Mg/m³.


# ErPu2Te2Se2

A relaxed ErPu2Te2Se2 crystal (PBE, the Alexandria database).

Structure (CIF):
```
data_ErPu2Te2Se2
_chemical_formula_sum 'Er1 Pu2 Te2 Se2'
_cell_length_a 8.757
_cell_length_b 8.757
_cell_length_c 8.757
_cell_angle_alpha 144.94
_cell_angle_beta 144.94
_cell_angle_gamma 50.42
_symmetry_space_group_name_H-M 'P 1'
_symmetry_Int_Tables_number 1
loop_
_symmetry_equiv_pos_as_xyz
'x,y,z'
loop_
_atom_site_label
_atom_site_fract_x
_atom_site_fract_y
_atom_site_fract_z
Er1 0.000 0.000 0.000
Pu1 0.381 0.381 0.000
Pu2 0.619 0.619 0.000
Te1 0.187 0.187 0.000
Te2 0.813 0.813 0.000
Se1 0.000 0.500 0.500
Se2 0.500 0.000 0.500
```

Output
The calculated volume comes out at 220 Å³ per cell. The raw formation energy is -7.94 eV per formula unit. The calculated density is 8.0 Mg/m³.